A geometry-optimized HgSbPb2 structure, computed with PBE.

Values from the calculation:
Total magnetic moment (μB/f.u.): 0.0
D(E_F) (states/eV per cell): 1.70
ΔE_f (raw) (eV/atom): 0.072
Space-group type: No. 123
Excess energy over the best structure of this formula in the dataset (meV per atom): 51
Volume (Å³ per cell): 116.6

Lattice parameters (Å, degrees): 3.484 3.484 9.600 90.00 90.00 90.00
Fractional positions:
Pb (0.000, 0.000, 0.506)
Pb (0.000, 0.000, 0.994)
Sb (0.500, 0.500, 0.250)
Hg (0.500, 0.500, 0.750)